[1]
DFT (GGA+U) results for a relaxed Ba3MnPb2O6 crystal.

Its energy is -0.4475 Ry/atom. For the calculated volume, the calculation gives 232.6 Å³/cell.

The space group is P-3m1 (No. 164) and the conventional cell measures 6.1723, 6.1723 and 7.0512 Å, with angles of 90.00, 90.00 and 120.00 degrees. The asymmetric unit holds Ba at (0.0000, 0.0000, 0.0000), Ba at (0.3333, 0.6667, 0.6144), Mn at (0.0000, 0.0000, 0.5000), Pb at (0.3333, 0.6667, 0.1351) and O at (0.1658, 0.3316, 0.3103).



[2]
DFT (GGA+U) results for a relaxed Ba3MnPb2O9 crystal.

Its energy is -0.4482 Ry/atom. For the calculated volume, the calculation gives 225.7 Å³/cell.

The space group is P-3m1 (No. 164) and the conventional cell measures 5.9727, 5.9727 and 7.3054 Å, with angles of 90.00, 90.00 and 120.00 degrees. The asymmetric unit holds Ba at (0.0000, 0.0000, 0.0000), Ba at (0.3333, 0.6667, 0.6650), Mn at (0.0000, 0.0000, 0.5000), Pb at (0.3333, 0.6667, 0.1793), O at (0.0000, 0.5000, 0.0000) and O at (0.1564, 0.3128, 0.3442).



[3]
DFT (GGA+U) results for a relaxed BaMnPbO4 crystal.

Its energy is -0.4645 Ry/atom. For the calculated volume, the calculation gives 265.9 Å³/cell.

The space group is P2_1/m (No. 11) and the conventional cell measures 6.465, 6.033 and 7.462 Å, with angles of 90.00, 113.97 and 90.00 degrees. The asymmetric unit holds Ba at (0.220, 0.250, 0.461), Mn at (0.214, 0.750, 0.194), Pb at (0.329, 0.250, 0.023), O at (0.007, 0.750, 0.944), O at (0.021, 0.750, 0.315) and O at (0.422, 0.526, 0.269).



[4]
DFT (GGA+U) results for a relaxed Ba2MnPdO4 crystal.

Its energy is -0.4575 Ry/atom. For the calculated volume, the calculation gives 273.9 Å³/cell.

The space group is I-4 (No. 82) and the conventional cell measures 6.334, 6.334 and 6.826 Å, with angles of 90.00, 90.00 and 90.00 degrees. The asymmetric unit holds Ba at (0.000, 0.000, 0.000), Ba at (0.000, 0.500, 0.250), Mn at (0.000, 0.000, 0.500), Pd at (0.000, 0.500, 0.750) and O at (0.154, 0.215, 0.690).